Model A:
A geometry-optimized PbW2Cl structure, computed with PBE-GGA.

The structure in CIF format:
```
data_PbW2Cl
_chemical_formula_sum 'Pb2 W4 Cl2'
_cell_length_a 5.529
_cell_length_b 3.192
_cell_length_c 10.490
_cell_angle_alpha 90.00
_cell_angle_beta 101.38
_cell_angle_gamma 90.00
_space_group_name_H-M_alt 'C 1 m 1'
_space_group_IT_number 8
loop_
_space_group_symop_operation_xyz
'x,y,z'
'x,-y,z'
'x+1/2,y+1/2,z'
'x+1/2,-y+1/2,z'
loop_
_atom_site_label
_atom_site_type_symbol
_atom_site_fract_x
_atom_site_fract_y
_atom_site_fract_z
Pb1 Pb 0.000 0.000 0.000
W1 W 0.069 0.500 0.741
W2 W 0.170 0.000 0.566
Cl1 Cl 0.437 0.000 0.386
```

=====

Model B:
A geometry-optimized PbW2Cl structure, computed with PBE-GGA.

The structure in CIF format:
```
data_PbW2Cl
_chemical_formula_sum 'Pb1 W2 Cl1'
_cell_length_a 2.906
_cell_length_b 2.906
_cell_length_c 8.918
_cell_angle_alpha 90.00
_cell_angle_beta 90.00
_cell_angle_gamma 90.00
_space_group_name_H-M_alt 'P 4/m m m'
_space_group_IT_number 123
_space_group_name_Hall '-P 4 2'
loop_
_atom_site_label
_atom_site_type_symbol
_atom_site_fract_x
_atom_site_fract_y
_atom_site_fract_z
Pb1 Pb 0.000 0.000 0.000
W1 W 0.500 0.500 0.268
Cl1 Cl 0.000 0.000 0.500
```

=====

Most stable structure among those shown: model A. Next: +1304 meV per atom.